1.
Here is a crystal of Cs2SrGaBi relaxed with PBEsol from the Alexandria database. Energies are from meta-GGA SCAN.

Computed properties:
The value obtained for the formation energy is 0.57 eV per atom. As for the density of states at the Fermi level: 4.5 states/eV/f.u. The calculation puts the density at 3.85 g/cm³. As for the crystal system: tetragonal.

abc: 6.9461 6.9461 5.6575
angles: 90.00 90.00 90.00
Closest atoms and distances in Å follow each position.
Atoms (fractional coordinates):
1 Cs 0.0000 0.5000 0.0000  2 Sr 3.47
2 Cs 0.5000 0.0000 0.0000  2 Sr 3.47
3 Sr 0.0000 0.0000 0.0000  2 Ga 2.83
4 Ga 0.0000 0.0000 0.5000  2 Sr 2.83
5 Bi 0.5000 0.5000 0.5000  8 Cs 4.48, 4 Ga 4.91



2.
Here is a crystal of Na2ScAsPt relaxed with PBEsol from the Alexandria database. Energies are from meta-GGA SCAN.

Computed properties:
The value obtained for the formation energy is 0.12 eV per atom. As for the density of states at the Fermi level: 2.7 states/eV/f.u. The calculation puts the density at 4.84 g/cm³. As for the crystal system: tetragonal.

abc: 5.1634 5.1634 4.6485
angles: 90.00 90.00 90.00
Closest atoms and distances in Å follow each position.
Atoms (fractional coordinates):
1 Na 0.0000 0.5000 0.0000  2 Pt 2.58
2 Na 0.5000 0.0000 0.0000  2 Pt 2.58
3 Sc 0.0000 0.0000 0.5000  8 Na 3.47, 4 As 3.65
4 As 0.5000 0.5000 0.5000  2 Pt 2.32
5 Pt 0.5000 0.5000 0.0000  2 As 2.32, 4 Na 2.58



3.
Here is a crystal of BeNi2W relaxed with PBEsol from the Alexandria database. Energies are from meta-GGA SCAN.

Computed properties:
The value obtained for the formation energy is 0.01 eV per atom. As for the density of states at the Fermi level: 2.2 states/eV/f.u. The calculation puts the density at 11.31 g/cm³. As for the crystal system: monoclinic.

abc: 4.3286 4.3286 4.3613
angles: 100.66 100.66 34.61
Closest atoms and distances in Å follow each position.
Atoms (fractional coordinates):
1 Be 0.0000 0.0000 0.0000  5 Ni 2.32-2.45, 2 Be 2.58
2 Ni 0.4849 0.4849 0.4488  2 Be 2.37, 3 W 2.42-2.50, 5 Ni 2.55-2.59
3 Ni 0.7336 0.7336 0.1659  3 Be 2.32-2.45, 4 W 2.51-2.55, 5 Ni 2.55-2.59
4 W 0.2397 0.2397 0.6739  7 Ni 2.42-2.55, 2 W 2.58, 3 Be 2.65-2.67